V2HPtRh: relaxed, PBE.

As for the crystal system: tetragonal. The total moment is 0.00 μB per formula unit. As for the polymorph energy (0 for the lowest one): 0 meV/atom. The calculation puts the total energy at -37.041 eV/f.u.

The space group is P4/mmm (No. 123) and the conventional cell measures 3.866, 3.866 and 3.860 Å, with angles of 90.00, 90.00 and 90.00 degrees. Symmetry generates all atoms from V at (0.000, 0.500, 0.000), H at (0.000, 0.000, 0.000), Pt at (0.500, 0.500, 0.500) and Rh at (0.000, 0.000, 0.500).

=====

KAuBr2: relaxed, PBE.

As for the crystal system: tetragonal. The total moment is 0.00 μB per formula unit. The energy relative to the elements, uncorrected comes out at -0.768 eV/atom. As for the polymorph energy (0 for the lowest one): 162 meV/atom. The calculation puts the total energy at -10.792 eV/f.u.

The space group is I-42d (No. 122) and the conventional cell measures 6.613, 6.613 and 14.266 Å, with angles of 90.00, 90.00 and 90.00 degrees. Symmetry generates all atoms from K at (0.000, 0.000, 0.000), Au at (0.000, 0.000, 0.500) and Br at (0.182, 0.250, 0.625).

=====

Ce5Tl2Pb: relaxed, PBE.

Its formation energy from the elements is -0.210 eV/atom. As for the crystal system: tetragonal. The total moment is 4.92 μB per formula unit. As for the polymorph energy (0 for the lowest one): 0 meV/atom. The calculation puts the total energy at -39.792 eV/f.u.

The space group is I4/mcm (No. 140) and the conventional cell measures 8.609, 8.609 and 12.732 Å, with angles of 90.00, 90.00 and 90.00 degrees. Symmetry generates all atoms from Ce at (0.000, 0.000, 0.000), Ce at (0.172, 0.328, 0.169), Tl at (0.130, 0.370, 0.500) and Pb at (0.000, 0.000, 0.250).